Density functional theory data (PBE) for DyCdHgPb after structural relaxation.

The value obtained for the energy relative to the lowest polymorph listed for this composition is 135.2 meV/atom. As for the space group: F-43m (216). The crystal system is cubic.

abc: 5.266 5.266 5.266
angles: 60.00 60.00 60.00
Element x y z (fractional)
1 Cd 0.000 0.000 0.000
2 Pb 0.750 0.750 0.750
3 Dy 0.500 0.500 0.500
4 Hg 0.250 0.250 0.250

=====

Density functional theory data (PBE) for Pm2DyCdHg4 after structural relaxation.

As for the space group: R-3m (166). The crystal system is trigonal. For the total DFT energy (no corrections), the calculation gives -19.8 eV per cell.

abc: 5.212 5.212 9.295
angles: 73.72 73.72 60.00
Element x y z (fractional)
1 Cd 0.500 0.500 0.500
2 Hg 0.368 0.368 0.897
3 Hg 0.121 0.121 0.636
4 Hg 0.879 0.879 0.364
5 Hg 0.632 0.632 0.103
6 Pm 0.758 0.758 0.726
7 Pm 0.242 0.242 0.274
8 Dy 0.000 0.000 0.000

=====

Density functional theory data (PBE) for PmDyCd2Hg4 after structural relaxation.

As for the space group: R-3m (166). The crystal system is trigonal. For the total DFT energy (no corrections), the calculation gives -15.5 eV per cell.

abc: 5.128 5.128 8.909
angles: 73.27 73.27 60.00
Element x y z (fractional)
1 Cd 0.750 0.750 0.751
2 Cd 0.250 0.250 0.249
3 Hg 0.377 0.377 0.869
4 Hg 0.127 0.127 0.619
5 Hg 0.873 0.873 0.381
6 Hg 0.623 0.623 0.131
7 Dy 0.500 0.500 0.500
8 Pm 0.000 0.000 0.000

=====

Density functional theory data (PBE) for PrDy2CdHg4 after structural relaxation.

As for the space group: R-3m (166). The crystal system is trigonal. For the total DFT energy (no corrections), the calculation gives -19.4 eV per cell.

abc: 5.115 5.115 9.601
angles: 74.55 74.55 60.00
Element x y z (fractional)
1 Hg 0.380 0.380 0.859
2 Hg 0.876 0.876 0.372
3 Hg 0.620 0.620 0.141
4 Hg 0.124 0.124 0.628
5 Cd 0.500 0.500 0.500
6 Pr 0.000 0.000 0.000
7 Dy 0.239 0.239 0.283
8 Dy 0.761 0.761 0.717